Record 1
Material: BPO3
Method: DFT, PBE
State: relaxed

Computed properties:
The total magnetization comes out at 0.00 μB/f.u. For the formation energy (no corrections), the calculation gives -0.352 eV per atom. For the calculated total energy, the calculation gives -5.745 eV per atom. Its space group is Pm-3m.

a b c (Å): 3.3536 3.3536 3.3536
angles (deg): 90.00 90.00 90.00
With the nearest neighbours (Å) after each atom.
Sites, in units of the cell vectors:
1 O 0.0000 0.5000 0.0000  2 B 1.68
2 O 0.5000 0.0000 0.0000  2 B 1.68
3 P 0.5000 0.5000 0.5000  12 O 2.37
4 O 0.0000 0.0000 0.5000  2 B 1.68
5 B 0.0000 0.0000 0.0000  6 O 1.68

Record 2
Material: BP2O2
Method: DFT, PBE
State: relaxed

Computed properties:
The total magnetization comes out at 0.00 μB/f.u. For the formation energy (no corrections), the calculation gives 1.326 eV per atom. As for the energy above the lowest structure with this stoichiometry: 145.3 kJ/mol of atoms. For the calculated total energy, the calculation gives -4.157 eV per atom. Its space group is P4/mmm.

a b c (Å): 4.0488 4.0488 3.4704
angles (deg): 90.00 90.00 90.00
With the nearest neighbours (Å) after each atom.
Sites, in units of the cell vectors:
1 O 0.0000 0.0000 0.5000  2 O 1.74
2 B 0.5000 0.5000 0.5000  8 P 2.67, 4 O 2.86
3 P 0.0000 0.5000 0.0000  2 O 2.02
4 O 0.0000 0.0000 0.0000  2 O 1.74
5 P 0.5000 0.0000 0.0000  2 O 2.02

Record 3
Material: BP2O2
Method: DFT, PBE
State: relaxed

Computed properties:
The total magnetization comes out at 0.00 μB/f.u. For the formation energy (no corrections), the calculation gives 0.427 eV per atom. As for the energy above the lowest structure with this stoichiometry: 58.6 kJ/mol of atoms. For the calculated total energy, the calculation gives -5.056 eV per atom. Its space group is P4/mmm.

a b c (Å): 4.5292 4.5292 2.7442
angles (deg): 90.00 90.00 90.00
With the nearest neighbours (Å) after each atom.
Sites, in units of the cell vectors:
1 O 0.0000 0.0000 0.5000  2 B 1.37
2 P 0.0000 0.5000 0.0000  2 B 2.26
3 B 0.0000 0.0000 0.0000  2 O 1.37
4 O 0.5000 0.5000 0.5000  8 P 2.65, 2 O 2.74
5 P 0.5000 0.0000 0.0000  2 B 2.26

Record 4
Material: BPO2
Method: DFT, PBE
State: relaxed

Computed properties:
The total magnetization comes out at 0.00 μB/f.u. For the formation energy (no corrections), the calculation gives -0.817 eV per atom. As for the energy above the lowest structure with this stoichiometry: 2.1 kJ/mol of atoms. For the calculated total energy, the calculation gives -6.318 eV per atom. Its space group is R-3m.

a b c (Å): 5.9834 5.9834 5.9834
angles (deg): 24.42 24.42 24.42
With the nearest neighbours (Å) after each atom.
Sites, in units of the cell vectors:
1 O 0.1166 0.1166 0.1166  3 B 1.70
2 P 0.0000 0.0000 0.0000  2 O 2.03
3 O 0.8834 0.8834 0.8834  3 B 1.70
4 B 0.5000 0.5000 0.5000  6 O 1.70

Record 5
Material: BP2O2
Method: DFT, PBE
State: relaxed

Computed properties:
The total magnetization comes out at 0.12 μB/f.u. For the formation energy (no corrections), the calculation gives -0.181 eV per atom. As for the energy above the lowest structure with this stoichiometry: 0.0 kJ/mol of atoms. For the calculated total energy, the calculation gives -5.663 eV per atom. Its space group is P4/mmm.

a b c (Å): 3.1016 3.1016 7.5318
angles (deg): 90.00 90.00 90.00
With the nearest neighbours (Å) after each atom.
Sites, in units of the cell vectors:
1 P 0.0000 0.0000 0.5000  4 P 2.19
2 P 0.5000 0.5000 0.5000  4 P 2.19
3 B 0.0000 0.0000 0.0000  4 O 1.55
4 O 0.0000 0.5000 0.0000  2 B 1.55
5 O 0.5000 0.0000 0.0000  2 B 1.55

Record 6
Material: B2PO6
Method: DFT, PBE
State: relaxed

Computed properties:
The total magnetization comes out at 0.27 μB/f.u. For the formation energy (no corrections), the calculation gives -2.025 eV per atom. As for the energy above the lowest structure with this stoichiometry: 0.0 kJ/mol of atoms. For the calculated total energy, the calculation gives -7.416 eV per atom. Its space group is C2/c.

a b c (Å): 4.4305 6.8551 6.8551
angles (deg): 95.75 71.68 71.68
With the nearest neighbours (Å) after each atom.
Sites, in units of the cell vectors:
1 B 0.7122 0.8091 0.6402  4 O 1.44-1.49
2 B 0.2878 0.1909 0.3598  4 O 1.44-1.49
3 O 0.0060 0.3224 0.3135  2 B 1.44-1.45
4 O 0.0619 0.7678 0.0260  1 B 1.47, 1 P 1.55
5 O 0.4940 0.6865 0.6776  2 B 1.44-1.45
6 B 0.2122 0.6402 0.8091  4 O 1.44-1.49
7 O 0.9381 0.2322 0.9740  1 B 1.47, 1 P 1.55
8 O 0.6589 0.5863 0.1834  1 B 1.49, 1 P 1.54
9 O 0.5060 0.3135 0.3224  2 B 1.44-1.45
10 O 0.1589 0.1834 0.5863  1 B 1.49, 1 P 1.54
11 O 0.4381 0.9740 0.2322  1 B 1.47, 1 P 1.55
12 O 0.9940 0.6776 0.6865  2 B 1.44-1.45
13 P 0.7500 0.7825 0.2175  4 O 1.54-1.55
14 P 0.2500 0.2175 0.7825  4 O 1.54-1.55
15 O 0.3411 0.4137 0.8166  1 B 1.49, 1 P 1.54
16 B 0.7878 0.3598 0.1909  4 O 1.44-1.49
17 O 0.5619 0.0260 0.7678  1 B 1.47, 1 P 1.55
18 O 0.8411 0.8166 0.4137  1 B 1.49, 1 P 1.54

Record 7
Material: BP2O2
Method: DFT, PBE
State: relaxed

Computed properties:
The total magnetization comes out at 0.00 μB/f.u. For the formation energy (no corrections), the calculation gives -0.041 eV per atom. As for the energy above the lowest structure with this stoichiometry: 13.5 kJ/mol of atoms. For the calculated total energy, the calculation gives -5.524 eV per atom. Its space group is P4/mmm.

a b c (Å): 3.2439 3.2439 5.0506
angles (deg): 90.00 90.00 90.00
With the nearest neighbours (Å) after each atom.
Sites, in units of the cell vectors:
1 O 0.0000 0.5000 0.0000  2 P 1.62
2 P 0.0000 0.0000 0.5000  4 B 2.29, 2 P 2.53
3 B 0.5000 0.5000 0.5000  4 P 2.29
4 O 0.5000 0.0000 0.0000  2 P 1.62
5 P 0.0000 0.0000 0.0000  4 O 1.62

Record 8
Material: B3PO
Method: DFT, PBE
State: relaxed

Computed properties:
The total magnetization comes out at 0.00 μB/f.u. For the formation energy (no corrections), the calculation gives 1.637 eV per atom. As for the energy above the lowest structure with this stoichiometry: 0.0 kJ/mol of atoms. For the calculated total energy, the calculation gives -4.443 eV per atom. Its space group is Pm-3m.

a b c (Å): 3.8217 3.8217 3.8217
angles (deg): 90.00 90.00 90.00
With the nearest neighbours (Å) after each atom.
Sites, in units of the cell vectors:
1 B 0.0000 0.0000 0.5000  2 P 1.91
2 P 0.0000 0.0000 0.0000  6 B 1.91
3 B 0.5000 0.0000 0.0000  2 P 1.91
4 O 0.5000 0.5000 0.5000  12 B 2.70
5 B 0.0000 0.5000 0.0000  2 P 1.91

> Which formula does entry 1 have?

BPO3